[1]
Compound: NaSmNiS3
Source: the Open Quantum Materials Database
Functional: PBE-GGA
Structure: optimized geometry Values from VASP.

```
&SYSTEM
  ibrav = 0, nat = 24, ntyp = 4
/
ATOMIC_SPECIES
Na 22.99 Na.upf
Sm 150.36 Sm.upf
Ni 58.69 Ni.upf
S 32.06 S.upf
ATOMIC_POSITIONS crystal
Na 0.229 0.250 0.065
Na 0.271 0.750 0.565
Na 0.729 0.250 0.435
Na 0.771 0.750 0.935
Sm 0.018 0.250 0.340
Sm 0.482 0.750 0.840
Sm 0.518 0.250 0.160
Sm 0.982 0.750 0.660
Ni 0.006 0.750 0.084
Ni 0.494 0.250 0.584
Ni 0.506 0.750 0.416
Ni 0.994 0.250 0.916
S 0.080 0.750 0.901
S 0.113 0.250 0.566
S 0.133 0.750 0.229
S 0.367 0.250 0.729
S 0.387 0.750 0.066
S 0.420 0.250 0.401
S 0.580 0.750 0.599
S 0.613 0.250 0.934
S 0.633 0.750 0.271
S 0.867 0.250 0.771
S 0.887 0.750 0.434
S 0.920 0.250 0.099
CELL_PARAMETERS angstrom
13.168 0.000 0.000
0.000 3.896 0.000
0.000 0.000 10.830
```

Results
calculated total energy	-5.21	eV per atom
crystal system	orthorhombic
symmetry	No. 62

---

[2]
Compound: Na2ZnNiS4
Source: the Open Quantum Materials Database
Functional: PBE-GGA
Structure: optimized geometry Values from VASP.

```
&SYSTEM
  ibrav = 0, nat = 8, ntyp = 4
/
ATOMIC_SPECIES
Na 22.99 Na.upf
Zn 65.41 Zn.upf
Ni 58.69 Ni.upf
S 32.06 S.upf
ATOMIC_POSITIONS crystal
Na 0.000 0.000 0.000
Na 0.750 0.250 0.500
Zn 0.250 0.750 0.500
Ni 0.500 0.500 0.000
S 0.211 0.633 0.064
S 0.367 0.431 0.577
S 0.569 0.147 0.936
S 0.853 0.789 0.423
CELL_PARAMETERS angstrom
-3.270 3.270 3.913
3.270 -3.270 3.913
3.270 3.270 -3.913
```

Results
calculated total energy	-3.79	eV per atom
crystal system	tetragonal
symmetry	No. 82

---

[3]
Compound: NaNiSb
Source: the Open Quantum Materials Database
Functional: PBE-GGA
Structure: optimized geometry Values from VASP.

```
&SYSTEM
  ibrav = 0, nat = 3, ntyp = 3
/
ATOMIC_SPECIES
Na 22.99 Na.upf
Ni 58.69 Ni.upf
Sb 121.76 Sb.upf
ATOMIC_POSITIONS crystal
Na 0.000 0.000 0.000
Ni 0.750 0.750 0.750
Sb 0.250 0.250 0.250
CELL_PARAMETERS angstrom
0.000 3.198 3.198
3.198 0.000 3.198
3.198 3.198 0.000
```

Results
calculated total energy	-3.03	eV per atom
crystal system	cubic
symmetry	No. 216

---

[4]
Compound: NaNiSb
Source: the Open Quantum Materials Database
Functional: PBE-GGA
Structure: optimized geometry Values from VASP.

```
&SYSTEM
  ibrav = 0, nat = 3, ntyp = 3
/
ATOMIC_SPECIES
Na 22.99 Na.upf
Ni 58.69 Ni.upf
Sb 121.76 Sb.upf
ATOMIC_POSITIONS crystal
Na 0.000 0.000 0.000
Ni 0.250 0.250 0.250
Sb 0.500 0.500 0.500
CELL_PARAMETERS angstrom
0.000 3.113 3.113
3.113 0.000 3.113
3.113 3.113 0.000
```

Results
calculated total energy	-3.72	eV per atom
crystal system	cubic
symmetry	No. 216

---

[5]
Compound: Na2Ni3Sb2
Source: the Open Quantum Materials Database
Functional: PBE-GGA
Structure: optimized geometry Values from VASP.

```
&SYSTEM
  ibrav = 0, nat = 7, ntyp = 3
/
ATOMIC_SPECIES
Na 22.99 Na.upf
Ni 58.69 Ni.upf
Sb 121.76 Sb.upf
ATOMIC_POSITIONS crystal
Na 0.000 0.000 0.000
Na 0.483 0.483 0.483
Ni 0.359 0.359 0.359
Ni 0.611 0.611 0.611
Ni 0.881 0.881 0.881
Sb 0.243 0.243 0.243
Sb 0.734 0.734 0.734
CELL_PARAMETERS angstrom
2.197 1.268 7.423
-2.197 1.268 7.423
0.000 -2.536 7.423
```

Results
calculated total energy	-4.00	eV per atom
crystal system	trigonal
symmetry	No. 160

---

[6]
Compound: NaSrNiSb
Source: the Open Quantum Materials Database
Functional: PBE-GGA
Structure: optimized geometry Values from VASP.

```
&SYSTEM
  ibrav = 0, nat = 4, ntyp = 4
/
ATOMIC_SPECIES
Na 22.99 Na.upf
Sr 87.62 Sr.upf
Ni 58.69 Ni.upf
Sb 121.76 Sb.upf
ATOMIC_POSITIONS crystal
Na 0.000 0.000 0.000
Sr 0.250 0.250 0.250
Ni 0.500 0.500 0.500
Sb 0.750 0.750 0.750
CELL_PARAMETERS angstrom
0.000 3.519 3.519
3.519 0.000 3.519
3.519 3.519 0.000
```

Results
calculated total energy	-3.41	eV per atom
crystal system	cubic
polymorph energy (0 for the lowest one)	0	meV/atom
symmetry	No. 216

---

Number 1: V 556 Å³/cell. Number 2: V 167 Å³/cell. Number 3: V 65 Å³/cell. Number 4: V 60 Å³/cell. Number 5: V 124 Å³/cell. Number 6: V 87 Å³/cell.